Run 1
Sm2Dy2Cd, optimized geometry, DFT PBE-GGA; space group = I4/mmm, No. 139; calculated density = 8.1 g cm⁻³; N(E_F) = 1.52 states/eV/atom; total magnetization = 0.01 μB/cell
1.0
-1.803 1.803 11.670
1.803 -1.803 11.670
1.803 1.803 -11.670
Sm Dy Cd
2 2 1
Direct
0.195 0.195 0.000
0.805 0.805 0.000
0.413 0.413 0.000
0.587 0.587 0.000
0.000 0.000 0.000

=====

Run 2
Sm2Dy2Cd, optimized geometry, DFT PBE-GGA; space group = I4_1/amd, No. 141; calculated density = 7.5 g cm⁻³; N(E_F) = 1.71 states/eV/atom; total magnetization = 0.00 μB/cell
1.0
-2.579 2.579 12.318
2.579 -2.579 12.318
2.579 2.579 -12.318
Sm Dy Cd
4 4 2
Direct
0.047 0.297 0.750
0.297 0.047 0.250
0.703 0.953 0.750
0.953 0.703 0.250
0.197 0.447 0.750
0.447 0.197 0.250
0.553 0.803 0.750
0.803 0.553 0.250
0.125 0.875 0.250
0.875 0.125 0.750

=====

Verdict on stability: run 2 comes out at the bottom.

=====

Run 1
Sm12Dy6Cd, optimized geometry, DFT PBE-GGA; space group = R-3, No. 148; calculated density = 7.6 g cm⁻³; N(E_F) = 1.49 states/eV/atom; total magnetization = 0.00 μB/cell
1.0
6.507 3.757 4.326
-6.507 3.757 4.326
0.000 -7.514 4.326
Sm Dy Cd
12 6 1
Direct
0.001 0.260 0.740
0.171 0.580 0.580
0.260 0.740 0.001
0.260 0.999 0.740
0.420 0.420 0.829
0.420 0.829 0.420
0.580 0.171 0.580
0.580 0.580 0.171
0.740 0.001 0.260
0.740 0.260 0.999
0.829 0.420 0.420
0.999 0.740 0.260
0.135 0.406 0.136
0.136 0.135 0.406
0.406 0.136 0.135
0.594 0.864 0.865
0.864 0.865 0.594
0.865 0.594 0.864
0.000 0.000 0.000

=====

Run 2
Sm12Dy6Cd, optimized geometry, DFT PBE-GGA; space group = R-3, No. 148; calculated density = 7.7 g cm⁻³; N(E_F) = 1.62 states/eV/atom; total magnetization = 0.00 μB/cell
1.0
5.993 3.460 5.042
-5.993 3.460 5.042
0.000 -6.920 5.042
Sm Dy Cd
12 6 1
Direct
0.038 0.284 0.933
0.067 0.962 0.716
0.136 0.321 0.483
0.284 0.933 0.038
0.321 0.483 0.136
0.483 0.136 0.321
0.517 0.864 0.679
0.679 0.517 0.864
0.716 0.067 0.962
0.864 0.679 0.517
0.933 0.038 0.284
0.962 0.716 0.067
0.214 0.599 0.759
0.241 0.786 0.401
0.401 0.241 0.786
0.599 0.759 0.214
0.759 0.214 0.599
0.786 0.401 0.241
0.500 0.500 0.500

=====

Verdict on stability: run 1 comes out at the bottom.

=====

Run 1
SmDy3Cd, optimized geometry, DFT PBE-GGA; space group = C2/m, No. 12; calculated density = 8.0 g cm⁻³; N(E_F) = 1.15 states/eV/atom; total magnetization = 0.00 μB/cell
1.0
5.648 -3.636 0.000
5.648 3.636 0.000
-2.830 0.000 7.583
Sm Dy Cd
2 6 2
Direct
0.059 0.059 0.237
0.941 0.941 0.763
0.092 0.591 0.364
0.409 0.908 0.636
0.439 0.439 0.759
0.561 0.561 0.241
0.591 0.092 0.364
0.908 0.409 0.636
0.255 0.255 0.000
0.745 0.745 0.000

=====

Run 2
SmDy3Cd, optimized geometry, DFT PBE-GGA; space group = C2/m, No. 12; calculated density = 8.3 g cm⁻³; N(E_F) = 1.40 states/eV/atom; total magnetization = 0.00 μB/cell
1.0
6.482 -1.840 0.000
6.482 1.840 0.000
-0.753 0.000 12.613
Sm Dy Cd
2 6 2
Direct
0.232 0.232 0.253
0.768 0.768 0.747
0.036 0.036 0.689
0.146 0.146 0.947
0.366 0.366 0.523
0.634 0.634 0.477
0.854 0.854 0.053
0.964 0.964 0.311
0.444 0.444 0.874
0.556 0.556 0.126

=====

Verdict on stability: run 1 comes out at the bottom.